one.
# TlCr2Mo, single point on PBEsol structure, DFT meta-GGA SCAN
data_TlCr2Mo
_symmetry_space_group_name_H-M 'P 1'
_symmetry_Int_Tables_number 1
_cell_length_a 3.108
_cell_length_b 3.108
_cell_length_c 6.276
_cell_angle_alpha 90.00
_cell_angle_beta 90.00
_cell_angle_gamma 90.00
loop_
_symmetry_equiv_pos_as_xyz
'x,y,z'
loop_
_atom_site_label
_atom_site_type_symbol
_atom_site_fract_x
_atom_site_fract_y
_atom_site_fract_z
_atom_site_occupancy
Cr1 Cr 0.000 0.000 0.785 1
Cr2 Cr 0.000 0.000 0.215 1
Mo1 Mo 0.500 0.500 0.000 1
Tl1 Tl 0.500 0.500 0.500 1
# * symmetry: P4/mmm (123)
# * magnetic moment: 0.74 μB per atom

---

two.
# TlCr2Mo, single point on PBEsol structure, DFT meta-GGA SCAN
data_TlCr2Mo
_symmetry_space_group_name_H-M 'P 1'
_symmetry_Int_Tables_number 1
_cell_length_a 3.055
_cell_length_b 4.365
_cell_length_c 5.128
_cell_angle_alpha 115.21
_cell_angle_beta 107.33
_cell_angle_gamma 90.00
loop_
_symmetry_equiv_pos_as_xyz
'x,y,z'
loop_
_atom_site_label
_atom_site_type_symbol
_atom_site_fract_x
_atom_site_fract_y
_atom_site_fract_z
_atom_site_occupancy
Cr1 Cr 0.026 0.026 0.052 1
Cr2 Cr 0.731 0.231 0.462 1
Mo1 Mo 0.482 0.482 0.964 1
Tl1 Tl 0.261 0.761 0.521 1
# * symmetry: Imm2 (44)
# * magnetic moment: 0.00 μB per atom

---

Stability check: which of them is least stable? two.

---

one.
# CrMoW, single point on PBEsol structure, DFT meta-GGA SCAN
data_CrMoW
_symmetry_space_group_name_H-M 'P 1'
_symmetry_Int_Tables_number 1
_cell_length_a 2.668
_cell_length_b 4.292
_cell_length_c 4.292
_cell_angle_alpha 120.00
_cell_angle_beta 90.00
_cell_angle_gamma 90.00
loop_
_symmetry_equiv_pos_as_xyz
'x,y,z'
loop_
_atom_site_label
_atom_site_type_symbol
_atom_site_fract_x
_atom_site_fract_y
_atom_site_fract_z
_atom_site_occupancy
Cr1 Cr 0.998 0.000 0.000 1
Mo1 Mo 0.673 0.667 0.333 1
W1 W 0.328 0.333 0.667 1
# * symmetry: P3m1 (156)
# * magnetic moment: 0.00 μB per atom

---

two.
# CrMoW, single point on PBEsol structure, DFT meta-GGA SCAN
data_CrMoW
_symmetry_space_group_name_H-M 'P 1'
_symmetry_Int_Tables_number 1
_cell_length_a 3.048
_cell_length_b 3.048
_cell_length_c 5.040
_cell_angle_alpha 107.60
_cell_angle_beta 107.60
_cell_angle_gamma 90.00
loop_
_symmetry_equiv_pos_as_xyz
'x,y,z'
loop_
_atom_site_label
_atom_site_type_symbol
_atom_site_fract_x
_atom_site_fract_y
_atom_site_fract_z
_atom_site_occupancy
Cr1 Cr 0.000 0.000 0.000 1
Mo1 Mo 0.662 0.662 0.324 1
W1 W 0.338 0.338 0.676 1
# * symmetry: I4mm (107)
# * magnetic moment: 0.00 μB per atom

---

Stability check: which of them is least stable? one.

---

one.
# CrMoW2, single point on PBEsol structure, DFT meta-GGA SCAN
data_CrMoW2
_symmetry_space_group_name_H-M 'P 1'
_symmetry_Int_Tables_number 1
_cell_length_a 2.684
_cell_length_b 2.684
_cell_length_c 8.600
_cell_angle_alpha 90.00
_cell_angle_beta 90.00
_cell_angle_gamma 109.85
loop_
_symmetry_equiv_pos_as_xyz
'x,y,z'
loop_
_atom_site_label
_atom_site_type_symbol
_atom_site_fract_x
_atom_site_fract_y
_atom_site_fract_z
_atom_site_occupancy
Cr1 Cr 0.500 0.500 0.500 1
Mo1 Mo 0.500 0.500 0.000 1
W1 W 0.000 0.000 0.262 1
W2 W 0.000 0.000 0.738 1
# * symmetry: Cmmm (65)
# * magnetic moment: 0.00 μB per atom

---

two.
# CrMoW2, single point on PBEsol structure, DFT meta-GGA SCAN
data_CrMoW2
_symmetry_space_group_name_H-M 'P 1'
_symmetry_Int_Tables_number 1
_cell_length_a 2.682
_cell_length_b 2.682
_cell_length_c 8.603
_cell_angle_alpha 90.00
_cell_angle_beta 90.00
_cell_angle_gamma 109.76
loop_
_symmetry_equiv_pos_as_xyz
'x,y,z'
loop_
_atom_site_label
_atom_site_type_symbol
_atom_site_fract_x
_atom_site_fract_y
_atom_site_fract_z
_atom_site_occupancy
Cr1 Cr 0.000 0.000 0.499 1
Mo1 Mo 0.500 0.500 0.263 1
W1 W 0.000 0.000 0.001 1
W2 W 0.500 0.500 0.737 1
# * symmetry: Cmm2 (35)
# * magnetic moment: 0.00 μB per atom

---

Stability check: which of them is least stable? two.

---

one.
# CrMoW2, single point on PBEsol structure, DFT meta-GGA SCAN
data_CrMoW2
_symmetry_space_group_name_H-M 'P 1'
_symmetry_Int_Tables_number 1
_cell_length_a 4.350
_cell_length_b 4.350
_cell_length_c 4.350
_cell_angle_alpha 60.00
_cell_angle_beta 60.00
_cell_angle_gamma 60.00
loop_
_symmetry_equiv_pos_as_xyz
'x,y,z'
loop_
_atom_site_label
_atom_site_type_symbol
_atom_site_fract_x
_atom_site_fract_y
_atom_site_fract_z
_atom_site_occupancy
Cr1 Cr 0.500 0.500 0.500 1
Mo1 Mo 0.250 0.250 0.250 1
W1 W 0.000 0.000 0.000 1
W2 W 0.750 0.750 0.750 1
# * symmetry: F-43m (216)
# * magnetic moment: 0.04 μB per atom

---

two.
# CrMoW2, single point on PBEsol structure, DFT meta-GGA SCAN
data_CrMoW2
_symmetry_space_group_name_H-M 'P 1'
_symmetry_Int_Tables_number 1
_cell_length_a 2.682
_cell_length_b 4.342
_cell_length_c 5.093
_cell_angle_alpha 90.00
_cell_angle_beta 100.06
_cell_angle_gamma 90.00
loop_
_symmetry_equiv_pos_as_xyz
'x,y,z'
loop_
_atom_site_label
_atom_site_type_symbol
_atom_site_fract_x
_atom_site_fract_y
_atom_site_fract_z
_atom_site_occupancy
Cr1 Cr 0.499 0.000 0.499 1
Mo1 Mo 0.252 0.500 0.746 1
W1 W 0.003 0.000 0.999 1
W2 W 0.746 0.500 0.256 1
# * symmetry: Pm (6)
# * magnetic moment: 0.00 μB per atom

---

three.
# CrMoW2, single point on PBEsol structure, DFT meta-GGA SCAN
data_CrMoW2
_symmetry_space_group_name_H-M 'P 1'
_symmetry_Int_Tables_number 1
_cell_length_a 3.083
_cell_length_b 4.380
_cell_length_c 5.083
_cell_angle_alpha 115.52
_cell_angle_beta 107.65
_cell_angle_gamma 90.00
loop_
_symmetry_equiv_pos_as_xyz
'x,y,z'
loop_
_atom_site_label
_atom_site_type_symbol
_atom_site_fract_x
_atom_site_fract_y
_atom_site_fract_z
_atom_site_occupancy
Cr1 Cr 0.000 0.500 0.000 1
Mo1 Mo 0.500 0.000 0.000 1
W1 W 0.747 0.747 0.494 1
W2 W 0.253 0.253 0.506 1
# * symmetry: Immm (71)
# * magnetic moment: 0.00 μB per atom

---

Stability check: which of them is least stable? two.

---

one.
# YCrMo2, single point on PBEsol structure, DFT meta-GGA SCAN
data_YCrMo2
_symmetry_space_group_name_H-M 'P 1'
_symmetry_Int_Tables_number 1
_cell_length_a 3.161
_cell_length_b 5.019
_cell_length_c 5.104
_cell_angle_alpha 110.16
_cell_angle_beta 90.00
_cell_angle_gamma 108.36
loop_
_symmetry_equiv_pos_as_xyz
'x,y,z'
loop_
_atom_site_label
_atom_site_type_symbol
_atom_site_fract_x
_atom_site_fract_y
_atom_site_fract_z
_atom_site_occupancy
Cr1 Cr 0.720 0.440 0.153 1
Mo1 Mo 0.008 0.017 0.011 1
Mo2 Mo 0.277 0.554 0.839 1
Y1 Y 0.495 0.990 0.497 1
# * symmetry: Cm (8)
# * magnetic moment: 0.00 μB per atom

---

two.
# YCrMo2, single point on PBEsol structure, DFT meta-GGA SCAN
data_YCrMo2
_symmetry_space_group_name_H-M 'P 1'
_symmetry_Int_Tables_number 1
_cell_length_a 3.111
_cell_length_b 3.111
_cell_length_c 7.047
_cell_angle_alpha 90.00
_cell_angle_beta 90.00
_cell_angle_gamma 90.00
loop_
_symmetry_equiv_pos_as_xyz
'x,y,z'
loop_
_atom_site_label
_atom_site_type_symbol
_atom_site_fract_x
_atom_site_fract_y
_atom_site_fract_z
_atom_site_occupancy
Cr1 Cr 0.500 0.500 0.802 1
Mo1 Mo 0.000 0.000 0.989 1
Mo2 Mo 0.500 0.500 0.201 1
Y1 Y 0.000 0.000 0.508 1
# * symmetry: P4mm (99)
# * magnetic moment: 0.56 μB per atom

---

Stability check: which of them is least stable? one.

---

one.
# Zr2CrMo, single point on PBEsol structure, DFT meta-GGA SCAN
data_Zr2CrMo
_symmetry_space_group_name_H-M 'P 1'
_symmetry_Int_Tables_number 1
_cell_length_a 3.258
_cell_length_b 4.328
_cell_length_c 4.805
_cell_angle_alpha 90.00
_cell_angle_beta 90.00
_cell_angle_gamma 90.00
loop_
_symmetry_equiv_pos_as_xyz
'x,y,z'
loop_
_atom_site_label
_atom_site_type_symbol
_atom_site_fract_x
_atom_site_fract_y
_atom_site_fract_z
_atom_site_occupancy
Cr1 Cr 0.500 0.500 0.000 1
Mo1 Mo 0.000 0.500 0.500 1
Zr1 Zr 0.000 0.000 0.000 1
Zr2 Zr 0.500 0.000 0.500 1
# * symmetry: Pmmm (47)
# * magnetic moment: 0.43 μB per atom

---

two.
# Zr2CrMo, single point on PBEsol structure, DFT meta-GGA SCAN
data_Zr2CrMo
_symmetry_space_group_name_H-M 'P 1'
_symmetry_Int_Tables_number 1
_cell_length_a 2.901
_cell_length_b 4.331
_cell_length_c 5.438
_cell_angle_alpha 90.00
_cell_angle_beta 97.77
_cell_angle_gamma 90.00
loop_
_symmetry_equiv_pos_as_xyz
'x,y,z'
loop_
_atom_site_label
_atom_site_type_symbol
_atom_site_fract_x
_atom_site_fract_y
_atom_site_fract_z
_atom_site_occupancy
Cr1 Cr 0.500 0.500 0.000 1
Mo1 Mo 0.000 0.500 0.500 1
Zr1 Zr 0.749 0.000 0.755 1
Zr2 Zr 0.251 0.000 0.245 1
# * symmetry: P2/m (10)
# * magnetic moment: 0.00 μB per atom

---

Stability check: which of them is least stable? two.